1.
Here is crystalline ReOs2Se at its relaxed geometry from the Alexandria database. Energies are from GGA-PBE.

a = 4.070 Å, b = 2.874 Å, c = 5.345 Å
α = 73.46°, β = 90.00°, γ = 90.00°
Fractional coordinates of all 4 atoms:
Se  0.500  0.750  0.750
Os  0.000  0.876  0.996
Os  0.000  0.624  0.504
Re  0.500  0.250  0.250

## Properties
mass density	17.89	g/cm³
raw formation energy	0.560	eV per atom

***

2.
Here is crystalline CsMg2Pt2 at its relaxed geometry from the Alexandria database. Energies are from GGA-PBE.

a = 8.389 Å, b = 8.389 Å, c = 3.076 Å
α = 90.00°, β = 90.00°, γ = 90.00°
Fractional coordinates of all 10 atoms:
Mg  0.372  0.872  0.000
Mg  0.128  0.372  0.000
Mg  0.628  0.128  0.000
Mg  0.872  0.628  0.000
Pt  0.847  0.347  0.500
Pt  0.153  0.653  0.500
Pt  0.653  0.847  0.500
Pt  0.347  0.153  0.500
Cs  0.000  0.000  0.000
Cs  0.500  0.500  0.000

## Properties
mass density	8.77	g/cm³
DFT formation energy	-302	meV per atom
E above lowest polymorph	0.064	eV per atom

***

These records have total energy values of -0.3321, -0.1296 Ha/atom, in the order they appear.